This record from Alexandria via LeMat-Bulk describes a relaxed Li3PmV4O12 crystal. The functional is PBE+U.

Cell: 11.0185 11.0185 7.0766 Å, 90.00 90.00 120.00°
Space group R32 (No. 155, hexagonal axes)
One atom of each set of equivalent atoms:
Li 0.0000 0.5632 0.0000 [9 per cell]
Pm 0.0000 0.0000 0.0000 [3 per cell]
V 0.0000 0.0000 0.5000 [3 per cell]
V 0.0000 0.4409 0.5000 [9 per cell]
O 0.0000 0.5902 0.5000 [9 per cell]
O 0.0000 0.8442 0.5000 [9 per cell]
O 0.0542 0.2261 0.1559 [18 per cell]

E_tot   -6.768 eV/atom
Total moment   2.00 μB/f.u.
Volume   12.401 Å³/atom
Fermi-level density of states   0.0726 states/eV per atom